*i*
Computed, not measured: a relaxed V3RhF crystal at the PBE with a Hubbard U level of DFT.

It has space group Pm-3m (No. 221), with a = 4.295 Å, b = 4.295 Å, c = 4.295 Å, α = 90.00°, β = 90.00° and γ = 90.00°. Symmetry generates all atoms from V at (0.000, 0.000, 0.500), Rh at (0.500, 0.500, 0.500) and F at (0.000, 0.000, 0.000).

The volume is 79 Å³ per cell. As for the size of the total moment: 8.9 μB/f.u. The crystal system is cubic. The value obtained for the theoretical density is 5.756 g/cm3.

*ii*
Computed, not measured: a relaxed V3RhF crystal at the PBE with a Hubbard U level of DFT.

It has space group Pm-3m (No. 221), with a = 4.901 Å, b = 4.901 Å, c = 4.901 Å, α = 90.00°, β = 90.00° and γ = 90.00°. Symmetry generates all atoms from V at (0.000, 0.000, 0.500), Rh at (0.000, 0.000, 0.000) and F at (0.500, 0.500, 0.500).

The volume is 118 Å³ per cell. As for the size of the total moment: 10.1 μB/f.u. The crystal system is cubic. The value obtained for the theoretical density is 3.875 g/cm3.

Most stable: *i*. Least stable: *ii*.

*i*
Computed, not measured: a relaxed RhWF3 crystal at the PBE with a Hubbard U level of DFT.

It has space group Pm-3m (No. 221), with a = 4.293 Å, b = 4.293 Å, c = 4.293 Å, α = 90.00°, β = 90.00° and γ = 90.00°. Symmetry generates all atoms from Rh at (0.000, 0.000, 0.000), W at (0.500, 0.500, 0.500) and F at (0.000, 0.500, 0.500).

The volume is 79 Å³ per cell. As for the size of the total moment: 1.7 μB/f.u. The crystal system is cubic. The value obtained for the theoretical density is 7.213 g/cm3.

*ii*
Computed, not measured: a relaxed RhWF3 crystal at the PBE with a Hubbard U level of DFT.

It has space group Pm-3m (No. 221), with a = 4.261 Å, b = 4.261 Å, c = 4.261 Å, α = 90.00°, β = 90.00° and γ = 90.00°. Symmetry generates all atoms from Rh at (0.000, 0.000, 0.000), W at (0.500, 0.500, 0.500) and F at (0.000, 0.000, 0.500).

The volume is 77 Å³ per cell. As for the size of the total moment: 5.1 μB/f.u. The crystal system is cubic. The value obtained for the theoretical density is 7.378 g/cm3.

Most stable: *i*. Least stable: *ii*.